A plane-wave DFT calculation with GGA-PBE was carried out for an optimized crystal structure of ThB2Pd2C.

SG: C2/m
DOS at the Fermi energy: 4.10 states/eV per cell
E_form: -3.01 eV/f.u.

Unit cell a=3.8639 b=3.8639 c=6.0148 alpha=108.64 beta=108.64 gamma=90.03
Fractional coordinates of all 6 atoms:
Th  0.0000  0.0000  0.0000
B  0.3612  0.3612  0.7234
B  0.6388  0.6388  0.2766
Pd  0.2499  0.7501  0.5000
Pd  0.7501  0.2499  0.5000
C  0.5000  0.5000  0.0000